[1]
Crystalline S4I2O15 at its relaxed geometry, computed with PBEsol.

The structure in POSCAR format:
```
S4I2O15
1.0
-5.333 0.269 -1.673
2.030 -6.230 -0.681
-2.003 -0.720 8.904
S I O
4 2 15
direct
0.551 0.790 0.227
0.719 0.319 0.858
0.374 0.349 0.293
0.116 0.837 0.646
0.061 0.346 0.567
0.841 0.816 0.949
0.837 0.174 0.923
0.147 0.178 0.240
0.433 0.891 0.124
0.338 0.547 0.210
0.621 0.337 0.280
0.473 0.316 0.891
0.321 0.827 0.747
0.878 0.829 0.718
0.927 0.546 0.925
0.377 0.430 0.461
0.610 0.867 0.380
0.163 0.013 0.555
0.020 0.630 0.526
0.784 0.748 0.168
0.727 0.306 0.692
```

Summary:
The calculation puts the formation energy without anion corrections at -20.23 eV per formula unit. The magnetic moment comes out at 0.00 μB per formula unit. The total energy comes out at -5.716 eV/atom.


[2]
Crystalline ScMn3Sb at its relaxed geometry, computed with PBEsol.

The structure in POSCAR format:
```
ScMn3Sb
1.0
4.581 0.000 0.000
0.000 4.581 0.000
0.000 0.000 4.581
Mn Sb Sc
3 1 1
direct
0.500 0.000 0.000
0.000 0.500 0.000
0.000 0.000 0.500
0.500 0.500 0.500
0.000 0.000 0.000
```

Summary:
The calculation puts the energy above the most stable polymorph in this dataset at 1.586 eV per formula unit. The calculation puts the formation energy without anion corrections at 6.55 eV per formula unit. The magnetic moment comes out at 9.41 μB per formula unit. The total energy comes out at -6.780 eV/atom.